Crystalline Cs4Pu3UTe8 at its relaxed geometry, computed with PBE.

Unit cell a=11.170 b=14.400 c=7.910 alpha=123.43 beta=134.92 gamma=90.00
Fractional positions:
Te 0.051 0.304 0.102
Cs 0.000 0.000 0.500
Pu 0.500 0.500 0.000
Cs 0.500 0.000 0.000
Te 0.949 0.696 0.898
Pu 0.000 0.500 0.500
Te 0.443 0.696 0.887
Cs 0.000 0.000 0.000
Te 0.051 0.304 0.608
Cs 0.500 0.000 0.500
Te 0.443 0.696 0.392
U 0.000 0.500 0.000
Te 0.557 0.304 0.113
Te 0.557 0.304 0.608
Te 0.949 0.696 0.392
Pu 0.500 0.500 0.500

Summary:
* SG: Cmmm


Crystalline Cs2PuUTe6 at its relaxed geometry, computed with PBE.

Unit cell a=8.394 b=8.395 c=11.873 alpha=90.00 beta=90.00 gamma=90.00
Fractional positions:
Te 0.754 0.997 0.000
U 0.500 0.249 0.500
Cs 0.500 0.750 0.750
Te 0.746 0.003 0.500
Te 0.254 0.003 0.500
Te 0.000 0.750 0.754
U 0.000 0.751 0.000
Pu 0.500 0.251 0.000
Te 0.246 0.505 0.000
Te 0.000 0.750 0.246
Te 0.746 0.495 0.500
Te 0.754 0.505 0.000
Te 0.246 0.997 0.000
Cs 0.000 0.250 0.750
Cs 0.500 0.750 0.250
Cs 0.000 0.250 0.250
Te 0.500 0.250 0.254
Te 0.254 0.495 0.500
Pu 0.000 0.749 0.500
Te 0.500 0.250 0.746

Summary:
* SG: Pmmn


Crystalline Cs2PuZn2Te4 at its relaxed geometry, computed with PBE.

Unit cell a=4.645 b=8.957 c=8.731 alpha=107.15 beta=105.43 gamma=90.00
Fractional positions:
Pu 0.000 0.000 0.000
Te 0.203 0.157 0.405
Te 0.482 0.233 0.965
Cs 0.132 0.556 0.265
Zn 0.668 0.982 0.337
Cs 0.868 0.444 0.735
Te 0.518 0.767 0.035
Te 0.797 0.843 0.595
Zn 0.332 0.018 0.663

Summary:
* SG: C2/m


no.,formation energy from raw total energies (eV per atom),magnetic moment (μB/f.u.)
1,-0.936,7.67
2,-0.819,4.24
3,-0.814,5.72